Entry 1:
Below is a relaxed LiAc4Nd crystal, with properties calculated at the PBE-GGA level.

Its energy relative to the lowest polymorph listed for this composition is 0.000 eV per atom. The calculated formation energy is 0.2 eV per formula unit. The value obtained for the uncorrected energy is -3.8126 eV/atom.

It has space group P4/mmm (No. 123), with a = 3.960 Å, b = 3.960 Å, c = 15.067 Å, α = 90.00°, β = 90.00° and γ = 90.00°. The inequivalent atoms are Li at (0.000, 0.000, 0.000), Ac at (0.000, 0.000, 0.328), Ac at (0.500, 0.500, 0.142) and Nd at (0.500, 0.500, 0.500).

=====

Entry 2:
Below is a relaxed Pr4Ag3Ge crystal, with properties calculated at the PBE-GGA level.

The calculated formation energy is -3.0 eV per formula unit. The value obtained for the uncorrected energy is -4.4068 eV/atom.

It has space group R-3m (No. 166, hexagonal axes), with a = 5.3051 Å, b = 5.3051 Å, c = 26.2272 Å, α = 90.00°, β = 90.00° and γ = 120.00°. The inequivalent atoms are Pr at (0.0000, 0.0000, 0.1210), Pr at (0.0000, 0.0000, 0.3721), Ag at (0.0000, 0.0000, 0.2429), Ag at (0.0000, 0.0000, 0.5000) and Ge at (0.0000, 0.0000, 0.0000).

=====

Entry 3:
Below is a relaxed Ti6Pt8Rh crystal, with properties calculated at the PBE-GGA level.

The calculated formation energy is -10.9 eV per formula unit. The value obtained for the uncorrected energy is -7.5954 eV/atom.

It has space group R-3 (No. 148, hexagonal axes), with a = 7.2593 Å, b = 7.2593 Å, c = 16.7273 Å, α = 90.00°, β = 90.00° and γ = 120.00°. The inequivalent atoms are Ti at (0.0061, 0.2886, 0.1109), Pt at (0.0000, 0.0000, 0.2092), Pt at (0.0066, 0.6863, 0.3812) and Rh at (0.0000, 0.0000, 0.5000).

=====

Entry 4:
Below is a relaxed PmFeCuGe2 crystal, with properties calculated at the PBE-GGA level.

The calculated formation energy is -2.3 eV per formula unit. The value obtained for the uncorrected energy is -5.7695 eV/atom.

It has space group I-4m2 (No. 119), with a = 4.108 Å, b = 4.108 Å, c = 10.374 Å, α = 90.00°, β = 90.00° and γ = 90.00°. The inequivalent atoms are Pm at (0.000, 0.000, 0.000), Fe at (0.000, 0.500, 0.250), Cu at (0.000, 0.500, 0.750) and Ge at (0.000, 0.000, 0.376).

=====

Entry 5:
Below is a relaxed Sm3Sn13Rh4 crystal, with properties calculated at the PBE-GGA level.

The calculated formation energy is -11.4 eV per formula unit. The value obtained for the uncorrected energy is -5.3484 eV/atom.

It has space group Pm-3n (No. 223), with a = 9.776 Å, b = 9.776 Å, c = 9.776 Å, α = 90.00°, β = 90.00° and γ = 90.00°. The inequivalent atoms are Sm at (0.000, 0.250, 0.500), Sn at (0.000, 0.000, 0.000), Sn at (0.000, 0.308, 0.153) and Rh at (0.250, 0.250, 0.250).

=====

Entry 6:
Below is a relaxed BeMo2W crystal, with properties calculated at the PBE-GGA level.

The calculated formation energy is 0.4 eV per formula unit. The value obtained for the uncorrected energy is -9.4871 eV/atom.

It has space group P4/mmm (No. 123), with a = 3.201 Å, b = 3.201 Å, c = 5.614 Å, α = 90.00°, β = 90.00° and γ = 90.00°. The inequivalent atoms are Be at (0.000, 0.000, 0.000), Mo at (0.500, 0.500, 0.223) and W at (0.000, 0.000, 0.500).

=====

Which value of uncorrected energy does entry 6 give? -9.4871 eV/atom

=====

calculated formation energy of number 1 (LiAc4Nd)? 0.2 eV per formula unit